Here is crystalline RbGaNiF6 at its relaxed geometry from Alexandria via LeMat-Bulk. Energies are from PBE with a Hubbard U.

Unit cell a=5.314 b=9.192 c=6.095 alpha=90.00 beta=90.12 gamma=90.00
Space group C2 (No. 5)
Unique sites:
Rb 0.000 0.000 0.000 (multiplicity 2)
Ga 0.000 0.333 0.500 (multiplicity 2)
Ni 0.000 0.667 0.500 (multiplicity 2)
F 0.121 0.493 0.678 (multiplicity 4)
F 0.180 0.194 0.679 (multiplicity 4)
F 0.202 0.814 0.679 (multiplicity 4)

Results
Volume, Å³ per cell: 298
Final energy, eV/atom: -4.560
Total moment, μB/f.u.: 1.93